DFT (PBE) results for a relaxed structure of Ce3Ge5Ir6.

## Properties
- ΔE_f: -0.754 eV/atom
- Total DFT energy (no corrections): -0.2746 hartree per atom
- Space group: Pmmn (59)

a b c (Å): 4.1505 9.8774 12.6259
angles (deg): 90.00 90.00 90.00
With the nearest neighbours (Å) after each atom.
Element x y z (fractional)
Ce1 0.0000 0.2546 0.3356  7 Ir 3.02-3.35, 6 Ge 3.12-3.16
Ce2 0.5000 0.7525 0.5000  6 Ge 3.02-3.15, 6 Ir 3.12-3.25
Ce3 0.5000 0.7454 0.1644  7 Ir 3.02-3.35, 6 Ge 3.12-3.16
Ce4 0.5000 0.7454 0.8356  7 Ir 3.02-3.35, 6 Ge 3.12-3.16
Ce5 0.0000 0.2546 0.6644  7 Ir 3.02-3.35, 6 Ge 3.12-3.16
Ce6 0.0000 0.2475 0.0000  6 Ge 3.02-3.15, 6 Ir 3.12-3.25
Ir1 0.5000 0.3968 0.7973  4 Ge 2.44-2.61
Ir2 0.5000 0.0112 0.0000  4 Ge 2.53-2.55
Ir3 0.5000 0.9948 0.6672  4 Ge 2.51-2.54
Ir4 0.0000 0.6032 0.2973  4 Ge 2.44-2.61
Ir5 0.0000 0.0052 0.8328  4 Ge 2.51-2.54
Ir6 0.0000 0.0052 0.1672  4 Ge 2.51-2.54
Ir7 0.5000 0.9948 0.3328  4 Ge 2.51-2.54
Ir8 0.0000 0.9888 0.5000  4 Ge 2.53-2.55
Ir9 0.5000 0.3968 0.2027  4 Ge 2.44-2.61
Ir10 0.0000 0.6032 0.7027  4 Ge 2.44-2.61
Ir11 0.0000 0.4995 0.5000  4 Ge 2.56, 2 Ir 2.76
Ir12 0.5000 0.5005 0.0000  4 Ge 2.56, 2 Ir 2.76
Ge1 0.0000 0.8526 0.6711  5 Ir 2.50-2.55
Ge2 0.5000 0.4864 0.3824  5 Ir 2.44-2.61
Ge3 0.0000 0.5136 0.8824  5 Ir 2.44-2.61
Ge4 0.0000 0.8645 0.0000  4 Ir 2.53
Ge5 0.5000 0.1474 0.1711  5 Ir 2.50-2.55
Ge6 0.0000 0.5136 0.1176  5 Ir 2.44-2.61
Ge7 0.5000 0.4864 0.6176  5 Ir 2.44-2.61
Ge8 0.0000 0.8526 0.3289  5 Ir 2.50-2.55
Ge9 0.5000 0.1355 0.5000  4 Ir 2.53
Ge10 0.5000 0.1474 0.8289  5 Ir 2.50-2.55

DFT (PBE) results for a relaxed structure of Ce4Ge2Ir.

## Properties
- ΔE_f: -0.536 eV/atom
- Distance to the lowest polymorph of the same formula: 90.3 meV per atom
- Total DFT energy (no corrections): -0.2393 hartree per atom
- Space group: Cmmm (65)

a b c (Å): 4.8061 6.1213 6.1213
angles (deg): 102.57 90.00 90.00
With the nearest neighbours (Å) after each atom.
Element x y z (fractional)
Ce1 0.5000 0.5000 0.0000  2 Ir 3.06, 4 Ge 3.08, 4 Ce 3.39
Ce2 0.0000 0.7349 0.7349  4 Ge 3.00-3.13, 2 Ir 3.00
Ce3 0.5000 0.0000 0.5000  2 Ir 3.06, 4 Ge 3.08, 4 Ce 3.39
Ce4 0.0000 0.2651 0.2651  4 Ge 3.00-3.13, 2 Ir 3.00
Ge1 0.0000 0.2313 0.7687  8 Ce 3.00-3.13
Ge2 0.0000 0.7687 0.2313  8 Ce 3.00-3.13
Ir1 0.5000 0.5000 0.5000  8 Ce 3.00-3.06

DFT (PBE) results for a relaxed structure of Ce2GeIr.

## Properties
- ΔE_f: -0.634 eV/atom
- Total DFT energy (no corrections): -0.2561 hartree per atom
- Space group: P4/mmm (123)

a b c (Å): 4.1615 4.4993 4.4993
angles (deg): 90.00 90.00 90.00
With the nearest neighbours (Å) after each atom.
Element x y z (fractional)
Ir1 0.5000 0.0000 0.0000  8 Ce 3.06, 4 Ge 3.18
Ce1 0.0000 0.0000 0.5000  4 Ge 3.06, 4 Ir 3.06, 4 Ce 3.18
Ce2 0.0000 0.5000 0.0000  4 Ge 3.06, 4 Ir 3.06, 4 Ce 3.18
Ge1 0.5000 0.5000 0.5000  8 Ce 3.06, 4 Ir 3.18

DFT (PBE) results for a relaxed structure of Ce3Ge2Ir2.

## Properties
- ΔE_f: -0.828 eV/atom
- Distance to the lowest polymorph of the same formula: 0.0 meV per atom
- Total DFT energy (no corrections): -0.2654 hartree per atom
- Space group: Pbcm (57)

a b c (Å): 5.6185 8.0580 13.3483
angles (deg): 90.00 90.00 90.00
With the nearest neighbours (Å) after each atom.
Element x y z (fractional)
Ce1 0.8478 0.3947 0.5980  4 Ir 2.89-3.21, 3 Ge 3.08-3.22
Ce2 0.6318 0.7420 0.2500  5 Ge 3.05-3.35, 4 Ir 3.07-3.11
Ce3 0.8478 0.1053 0.4020  4 Ir 2.89-3.21, 3 Ge 3.08-3.22
Ce4 0.1522 0.6053 0.4020  4 Ir 2.89-3.21, 3 Ge 3.08-3.22
Ce5 0.1522 0.6053 0.0980  4 Ir 2.89-3.21, 3 Ge 3.08-3.22
Ce6 0.3682 0.2580 0.7500  5 Ge 3.05-3.35, 4 Ir 3.07-3.11
Ce7 0.3682 0.2420 0.2500  5 Ge 3.05-3.35, 4 Ir 3.07-3.11
Ce8 0.8478 0.3947 0.9020  4 Ir 2.89-3.21, 3 Ge 3.08-3.22
Ce9 0.1522 0.8947 0.9020  4 Ir 2.89-3.21, 3 Ge 3.08-3.22
Ce10 0.8478 0.1053 0.0980  4 Ir 2.89-3.21, 3 Ge 3.08-3.22
Ce11 0.1522 0.8947 0.5980  4 Ir 2.89-3.21, 3 Ge 3.08-3.22
Ce12 0.6318 0.7580 0.7500  5 Ge 3.05-3.35, 4 Ir 3.07-3.11
Ge1 0.3289 0.2500 0.5000  4 Ir 2.65-2.69
Ge2 0.8715 0.3936 0.2500  2 Ir 2.56
Ge3 0.1285 0.6064 0.7500  2 Ir 2.56
Ge4 0.1285 0.8936 0.2500  2 Ir 2.56
Ge5 0.3289 0.2500 0.0000  4 Ir 2.65-2.69
Ge6 0.6711 0.7500 0.5000  4 Ir 2.65-2.69
Ge7 0.8715 0.1064 0.7500  2 Ir 2.56
Ge8 0.6711 0.7500 0.0000  4 Ir 2.65-2.69
Ir1 0.3763 0.5442 0.9067  3 Ge 2.56-2.69
Ir2 0.6237 0.4558 0.4067  3 Ge 2.56-2.69
Ir3 0.6237 0.0442 0.9067  3 Ge 2.56-2.69
Ir4 0.6237 0.0442 0.5933  3 Ge 2.56-2.69
Ir5 0.3763 0.9558 0.0933  3 Ge 2.56-2.69
Ir6 0.6237 0.4558 0.0933  3 Ge 2.56-2.69
Ir7 0.3763 0.5442 0.5933  3 Ge 2.56-2.69
Ir8 0.3763 0.9558 0.4067  3 Ge 2.56-2.69

DFT (PBE) results for a relaxed structure of Ce7Ge2Ir2.

## Properties
- ΔE_f: -0.551 eV/atom
- Total DFT energy (no corrections): -0.2491 hartree per atom
- Space group: Imm2 (44)

a b c (Å): 4.3494 8.7014 8.7013
angles (deg): 58.54 75.52 75.52
With the nearest neighbours (Å) after each atom.
Element x y z (fractional)
Ce1 0.5000 0.0276 0.9724  1 Ir 2.90, 2 Ge 3.18
Ce2 0.8423 0.0261 0.2896  2 Ce 2.89, 3 Ge 2.97-3.03, 1 Ir 3.06
Ce3 0.1252 0.1837 0.5657  2 Ir 2.88, 2 Ge 3.18
Ce4 0.3728 0.7780 0.4763  3 Ir 2.86-3.03, 2 Ce 2.89, 1 Ge 3.20
Ce5 0.8748 0.4343 0.8163  2 Ir 2.88, 2 Ge 3.18
Ce6 0.1577 0.7104 0.9739  2 Ce 2.89, 3 Ge 2.97-3.03, 1 Ir 3.06
Ce7 0.6272 0.5237 0.2220  3 Ir 2.86-3.03, 2 Ce 2.89, 1 Ge 3.20
Ge1 0.7157 0.8693 0.6990  9 Ce 2.97-3.29
Ge2 0.2843 0.3010 0.1307  9 Ce 2.97-3.29
Ir1 0.0000 0.6311 0.3689  6 Ce 2.86-3.06, 2 Ir 3.12
Ir2 0.5000 0.3686 0.6314  7 Ce 2.88-3.03, 2 Ir 3.12

DFT (PBE) results for a relaxed structure of Ce5Ge2Ir2.

## Properties
- ΔE_f: -0.550 eV/atom
- Distance to the lowest polymorph of the same formula: 123.0 meV per atom
- Total DFT energy (no corrections): -0.2514 hartree per atom
- Space group: Ima2 (46)

a b c (Å): 7.5932 7.3819 9.6466
angles (deg): 112.50 113.18 90.00
With the nearest neighbours (Å) after each atom.
Element x y z (fractional)
Ce1 0.5024 0.5524 0.3223  1 Ce 2.87, 2 Ir 2.87-2.89, 2 Ge 2.89-3.03
Ce2 0.1218 0.1537 0.9002  2 Ir 2.88-2.90, 2 Ge 3.02-3.05, 1 Ce 3.06
Ce3 0.3199 0.0524 0.3223  1 Ce 2.87, 2 Ir 2.87-2.89, 2 Ge 2.89-3.03
Ce4 0.0948 0.7479 0.5000  1 Ir 2.56
Ce5 0.7216 0.7535 0.0998  2 Ir 2.88-2.90, 2 Ge 3.02-3.05, 1 Ce 3.06
Ce6 0.2784 0.6537 0.9002  2 Ir 2.88-2.90, 2 Ge 3.02-3.05, 1 Ce 3.06
Ce7 0.8782 0.2535 0.0998  2 Ir 2.88-2.90, 2 Ge 3.02-3.05, 1 Ce 3.06
Ce8 0.4976 0.2301 0.6777  1 Ce 2.87, 2 Ir 2.87-2.89, 2 Ge 2.89-3.03
Ce9 0.9052 0.2479 0.5000  1 Ir 2.56
Ce10 0.6801 0.7301 0.6777  1 Ce 2.87, 2 Ir 2.87-2.89, 2 Ge 2.89-3.03
Ir1 0.7588 0.9350 0.5000  1 Ce 2.56
Ir2 0.2412 0.4350 0.5000  1 Ce 2.56
Ir3 0.0000 0.8737 0.0000  2 Ge 2.75, 6 Ce 2.87-2.90
Ir4 0.5000 0.3737 0.0000  2 Ge 2.75, 6 Ce 2.87-2.90
Ge1 0.1165 0.6231 0.1566  1 Ge 2.59, 1 Ir 2.75, 1 Ce 2.89
Ge2 0.8835 0.4666 0.8434  1 Ge 2.59, 1 Ir 2.75, 1 Ce 2.89
Ge3 0.5401 0.1231 0.1566  1 Ge 2.59, 1 Ir 2.75, 1 Ce 2.89
Ge4 0.4599 0.9666 0.8434  1 Ge 2.59, 1 Ir 2.75, 1 Ce 2.89

Quick rundown of size of the total moment, same order as above: 0.63, 1.80, 0.01, 1.84, 3.72, 3.14 μB/f.u.